1.
Here is a relaxed RbPmFe2Cl8 crystal from Alexandria via LeMat-Bulk. Energies are from GGA-PBE.

Results
**DFT total energy**: -4.524 eV/atom
**Total moment**: 16.00 μB per cell
**DOS at the Fermi energy**: 12.76 states/eV/f.u.
**Energy relative to the elements, uncorrected**: -1406 meV/atom

Cell: 10.7797 7.4871 9.8953 Å, 90.00 94.49 90.00°
Last column: nearest neighbours and their distance in Å.
Space group C2/m (No. 12)
Unique sites:
Rb 0.0000 0.0000 0.0000 [2 per cell]  6 Cl 3.40-3.47
Pm 0.0000 0.0000 0.5000 [2 per cell]  6 Cl 2.73-2.75
Fe 0.1230 0.5000 0.2814 [4 per cell]  4 Cl 2.21-2.35
Cl 0.0061 0.2486 0.7047 [8 per cell]  1 Fe 2.35
Cl 0.1992 0.5000 0.0801 [4 per cell]  1 Fe 2.21
Cl 0.2463 0.5000 0.4839 [4 per cell]  1 Fe 2.32

2.
Here is a relaxed KMn2In crystal from Alexandria via LeMat-Bulk. Energies are from GGA-PBE.

Results
**DFT total energy**: -5.042 eV/atom
**Total moment**: 1.12 μB per cell
**DOS at the Fermi energy**: 3.18 states/eV/f.u.

Cell: 8.1534 2.9963 7.9718 Å, 90.00 95.60 90.00°
Last column: nearest neighbours and their distance in Å.
Space group Cm (No. 8)
Unique sites:
K 0.0000 0.0000 0.0000 [2 per cell]  2 K 3.00
Mn 0.0058 0.5000 0.5703 [2 per cell]  3 Mn 2.40-2.41
Mn 0.2308 0.0000 0.6549 [2 per cell]  3 Mn 2.40-2.41
In 0.2682 0.5000 0.3491 [2 per cell]  5 Mn 2.90, 2 In 3.00

3.
Here is a relaxed KTa2Ir crystal from Alexandria via LeMat-Bulk. Energies are from GGA-PBE.

Results
**DFT total energy**: -7.526 eV/atom
**Total moment**: 1.37 μB per cell
**DOS at the Fermi energy**: 3.74 states/eV/f.u.
**Energy above the most stable polymorph in this dataset**: 561.0 meV/atom

Cell: 2.9818 5.2680 10.3345 Å, 90.00 90.00 90.00°
Last column: nearest neighbours and their distance in Å.
Space group Imm2 (No. 44)
Unique sites:
K 0.0000 0.0000 0.0000 [2 per cell]  2 K 2.98, 4 Ta 3.05, 2 Ir 3.10
Ta 0.0000 0.0000 0.5337 [2 per cell]  2 Ir 2.58, 2 Ta 2.88
Ta 0.0000 0.5000 0.7948 [2 per cell]  4 Ta 2.88-2.98, 4 Ir 3.08
Ir 0.0000 0.5000 0.2374 [2 per cell]  2 Ta 2.58

4.
Here is a relaxed Ac2Pm8Tm crystal from Alexandria via LeMat-Bulk. Energies are from GGA-PBE.

Results
**DFT total energy**: -4.413 eV/atom
**Total moment**: 0.00 μB per cell
**DOS at the Fermi energy**: 16.38 states/eV/f.u.
**Energy above the most stable polymorph in this dataset**: 46.7 meV/atom

Cell: 19.9191 7.1331 5.7657 Å, 90.00 93.43 90.00°
Last column: nearest neighbours and their distance in Å.
Space group C2/m (No. 12)
Unique sites:
Ac 0.2191 0.0000 0.2586 [4 per cell]  9 Pm 3.47-3.84
Pm 0.0444 0.0000 0.2328 [4 per cell]  1 Pm 3.13, 1 Ac 3.47
Pm 0.1210 0.2373 0.7319 [8 per cell]  7 Pm 3.39-3.75, 1 Tm 3.49, 1 Ac 3.69
Pm 0.1751 0.5000 0.2233 [4 per cell]  4 Pm 3.51-3.69, 4 Ac 3.55-3.68, 1 Tm 3.64
Tm 0.0000 0.5000 0.0000 [2 per cell]  10 Pm 3.49-3.89

5.
Here is a relaxed ThSn2Ir crystal from Alexandria via LeMat-Bulk. Energies are from GGA-PBE.

Results
**DFT total energy**: -5.952 eV/atom
**Total moment**: 0.00 μB per cell
**DOS at the Fermi energy**: 3.22 states/eV/f.u.

Cell: 3.3197 3.3197 31.7228 Å, 90.00 90.00 120.00°
Last column: nearest neighbours and their distance in Å.
Space group R-3m (No. 166, hexagonal axes)
Unique sites:
Th 0.0000 0.0000 0.0000 [3 per cell]  2 Sn 3.29, 6 Th 3.32
Sn 0.0000 0.0000 0.1037 [6 per cell]  3 Ir 2.77
Ir 0.0000 0.0000 0.5000 [3 per cell]  6 Sn 2.77

6.
Here is a relaxed V4Ga3Mo crystal from Alexandria via LeMat-Bulk. Energies are from GGA-PBE.

Results
**DFT total energy**: -7.174 eV/atom
**Total moment**: 0.00 μB per cell
**DOS at the Fermi energy**: 4.99 states/eV/f.u.

Cell: 7.0993 5.6684 5.6636 Å, 90.00 90.00 90.00°
Last column: nearest neighbours and their distance in Å.
Space group Pmna (No. 53)
Unique sites:
V 0.0000 0.0000 0.0000 [2 per cell]  4 V 2.67, 6 Ga 2.68-2.83, 2 Mo 2.83
V 0.0000 0.5000 0.5000 [2 per cell]  6 Ga 2.67-2.83, 4 V 2.68, 2 Mo 2.83
V 0.2500 0.2487 0.2500 [4 per cell]  2 Mo 2.67, 4 V 2.67-2.68, 6 Ga 2.68-2.84
Ga 0.0000 0.5000 0.0000 [2 per cell]  4 Ga 2.67, 8 V 2.68-2.83
Ga 0.2500 0.2507 0.7500 [4 per cell]  2 Ga 2.67, 8 V 2.67-2.84, 2 Mo 2.68
Mo 0.0000 0.0000 0.5000 [2 per cell]  8 V 2.67-2.83, 4 Ga 2.68

7.
Here is a relaxed PaS8 crystal from Alexandria via LeMat-Bulk. Energies are from GGA-PBE.

Results
**DFT total energy**: -4.630 eV/atom
**Total moment**: 0.00 μB per cell
**DOS at the Fermi energy**: 5.62 states/eV/f.u.
**Energy relative to the elements, uncorrected**: 94 meV/atom

Cell: 10.4754 10.4754 3.9660 Å, 90.00 90.00 90.00°
Last column: nearest neighbours and their distance in Å.
Space group I4/mmm (No. 139)
Unique sites:
Pa 0.0000 0.0000 0.0000 [2 per cell]  8 S 2.78
S 0.0000 0.3989 0.0000 [8 per cell]  1 S 2.12
S 0.1313 0.1313 0.5000 [8 per cell]  2 S 2.75, 2 Pa 2.78

8.
Here is a relaxed ZrC3 crystal from Alexandria via LeMat-Bulk. Energies are from GGA-PBE.

Results
**DFT total energy**: -7.556 eV/atom
**Total moment**: 0.00 μB per cell
**DOS at the Fermi energy**: 1.23 states/eV/f.u.
**Energy above the most stable polymorph in this dataset**: 1237.6 meV/atom

Cell: 2.9782 2.9782 4.4875 Å, 90.00 90.00 90.00°
Last column: nearest neighbours and their distance in Å.
Space group P4/mmm (No. 123)
Unique sites:
Zr 0.0000 0.0000 0.0000 [1 per cell]  2 C 2.24
C 0.0000 0.0000 0.5000 [1 per cell]  8 C 2.22, 2 Zr 2.24
C 0.5000 0.5000 0.3419 [2 per cell]  1 C 1.42

9.
Here is a relaxed Ba4Tl3In crystal from Alexandria via LeMat-Bulk. Energies are from GGA-PBE.

Results
**DFT total energy**: -2.587 eV/atom
**Total moment**: 0.00 μB per cell
**DOS at the Fermi energy**: 7.32 states/eV/f.u.

Cell: 6.0619 6.0619 17.3015 Å, 90.00 90.00 90.00°
Last column: nearest neighbours and their distance in Å.
Space group I4/mmm (No. 139)
Unique sites:
Ba 0.0000 0.5000 0.1246 [8 per cell]  6 Tl 3.72-3.73, 2 In 3.72
Tl 0.0000 0.0000 0.0000 [2 per cell]  8 Ba 3.72
Tl 0.0000 0.0000 0.2503 [4 per cell]  8 Ba 3.72-3.73
In 0.0000 0.0000 0.5000 [2 per cell]  8 Ba 3.72

10.
Here is a relaxed LaErRuAu crystal from Alexandria via LeMat-Bulk. Energies are from GGA-PBE.

Results
**DFT total energy**: -6.004 eV/atom
**Total moment**: 0.00 μB per cell
**DOS at the Fermi energy**: 2.85 states/eV/f.u.

Cell: 7.1513 7.1513 7.1513 Å, 90.00 90.00 90.00°
Last column: nearest neighbours and their distance in Å.
Space group F-43m (No. 216)
Unique sites:
La 0.0000 0.0000 0.0000 [4 per cell]  4 Ru 3.10, 4 Au 3.10
Er 0.0000 0.0000 0.5000 [4 per cell]  4 Au 3.10, 4 Ru 3.10
Ru 0.2500 0.2500 0.7500 [4 per cell]  4 La 3.10, 4 Er 3.10
Au 0.2500 0.2500 0.2500 [4 per cell]  4 La 3.10, 4 Er 3.10

11.
Here is a relaxed Ca4CeZn5 crystal from Alexandria via LeMat-Bulk. Energies are from GGA-PBE.

Results
**DFT total energy**: -2.255 eV/atom
**Total moment**: 0.92 μB per cell
**DOS at the Fermi energy**: 11.89 states/eV/f.u.

Cell: 3.6441 3.6441 18.5517 Å, 90.00 90.00 90.00°
Last column: nearest neighbours and their distance in Å.
Space group P4/mmm (No. 123)
Unique sites:
Ca 0.0000 0.0000 0.1005 [2 per cell]  8 Zn 3.17-3.18
Ca 0.0000 0.0000 0.3003 [2 per cell]  8 Zn 3.18-3.20
Ce 0.0000 0.0000 0.5000 [1 per cell]  8 Zn 3.15
Zn 0.5000 0.5000 0.0000 [1 per cell]  8 Ca 3.18
Zn 0.5000 0.5000 0.2000 [2 per cell]  8 Ca 3.17-3.18
Zn 0.5000 0.5000 0.4023 [2 per cell]  4 Ce 3.15, 4 Ca 3.20

12.
Here is a relaxed MnAl crystal from Alexandria via LeMat-Bulk. Energies are from GGA-PBE.

Results
**DFT total energy**: -6.546 eV/atom
**Total moment**: 7.26 μB per cell
**DOS at the Fermi energy**: 2.24 states/eV/f.u.

Cell: 5.8361 5.8361 5.8361 Å, 90.00 90.00 90.00°
Last column: nearest neighbours and their distance in Å.
Space group Fd-3m (No. 227, origin choice 2)
Unique sites:
Mn 0.1250 0.1250 0.1250 [8 per cell]  4 Al 2.53, 4 Mn 2.53
Al 0.1250 0.1250 0.6250 [8 per cell]  4 Mn 2.53, 4 Al 2.53